[1]
Entry from the Alexandria database: a crystal of Ca3LaTi2Cr2O12 relaxed with PBEsol (meta-GGA SCAN).

Output
E_form (uncorrected) ... -64.74 eV/f.u.
Crystal system ... triclinic

Geometry as POSCAR:
```
Ca3LaTi2Cr2O12
1.0
5.3571 -0.0187 -0.0072
0.0266 5.3974 -0.0001
0.0044 0.0054 7.6010
Ca La Ti Cr O
3 1 2 2 12
Direct
0.5075 0.4666 0.7491 Ca
0.9928 0.9619 0.7509 Ca
0.4926 0.5359 0.2501 Ca
0.0048 0.0281 0.2501 La
0.9996 0.5003 0.5070 Ti
0.5004 0.0000 0.9922 Ti
0.0001 0.4999 0.9981 Cr
0.5001 0.0010 0.5024 Cr
0.2867 0.2832 0.4596 O
0.2141 0.7824 0.0296 O
0.7184 0.7155 0.9614 O
0.7870 0.2110 0.5343 O
0.7158 0.7195 0.5381 O
0.7901 0.2138 0.9663 O
0.2825 0.2857 0.0408 O
0.2190 0.7853 0.4699 O
0.4288 0.0224 0.7475 O
0.0711 0.5095 0.7524 O
0.5589 0.9814 0.2514 O
0.9296 0.4966 0.2485 O
```

[2]
Entry from the Alexandria database: a crystal of CaGdPd2 relaxed with PBEsol (meta-GGA SCAN).

Output
Calculated formation energy ... -0.78 eV per atom
Crystal system ... cubic

Geometry as POSCAR:
```
CaGdPd2
1.0
4.9009 0.0000 0.0000
2.4504 4.2443 0.0000
2.4504 1.4148 4.0016
Ca Gd Pd
1 1 2
Direct
0.5000 0.5000 0.5000 Ca
0.0000 0.0000 0.0000 Gd
0.2500 0.2500 0.2500 Pd
0.7500 0.7500 0.7500 Pd
```